Density functional theory data (PBE) for a relaxed structure of Y2NpTl3Te6.

Properties
Energy relative to the elements, uncorrected ... -0.892 eV/atom
Magnetization ... 4.00 μB/f.u.
VASP energy ... -62.53 eV per cell

The structure in POSCAR format:
```
Y2NpTl3Te6
1.0
7.7562 -0.0009 0.0002
-3.8770 6.7178 0.0002
-1.2936 -2.2398 8.1536
Y Np Tl Te
2 1 3 6
direct
0.3331 0.6669 0.0000
0.6669 0.3331 0.0000
0.0000 0.0000 0.0000
0.1655 0.8345 0.5000
0.8345 0.1655 0.5000
0.5000 0.5000 0.5000
0.9284 0.5914 0.7855
0.7341 0.7341 0.2138
0.0716 0.4086 0.2145
0.5914 0.9284 0.7855
0.2659 0.2659 0.7862
0.4086 0.0716 0.2145
```